# TmNi2Ge

An optimized crystal structure of TmNi2Ge (PBE, Alexandria).

## Properties
Theoretical density: 9.2 g/cm³
Final energy: -22.9 eV for the cell shown
ΔH_f (0 K): -574 meV/atom
Magnetic moment: 0.0 μB/f.u.

Cell lengths 5.066, 5.066, 5.066 Å; angles 47.59, 47.59, 47.59 degrees
Positions (direct):
Tm1 0.000 0.000 0.000
Ni1 0.204 0.204 0.204
Ni2 0.796 0.796 0.796
Ge1 0.500 0.500 0.500